Record 1
## Cs2Ho3Te6 (GGA-PBE)

Data for a geometry-optimized Cs2Ho3Te6 structure.

## Properties
E_form (uncorrected) = -1.299 eV per atom

```
data_Cs2Ho3Te6
_chemical_formula_sum 'Cs4 Ho6 Te12'
_symmetry_space_group_name_H-M 'C 1 2/m 1'
_symmetry_Int_Tables_number 12
_symmetry_space_group_name_Hall '-C 2y'
_cell_length_a 7.559
_cell_length_b 13.093
_cell_length_c 9.670
_cell_angle_alpha 90.00
_cell_angle_beta 105.13
_cell_angle_gamma 90.00
loop_
_atom_site_label
_atom_site_type_symbol
_atom_site_fract_x
_atom_site_fract_y
_atom_site_fract_z
Cs1 Cs 0.000 0.166 0.000
Ho1 Ho 0.000 0.000 0.500
Ho2 Ho 0.000 0.333 0.500
Te1 Te 0.228 0.500 0.690
Te2 Te 0.231 0.165 0.690
```

Record 2
## Pa2TlP (GGA-PBE)

Data for a geometry-optimized Pa2TlP structure.

## Properties
Energy above the lowest structure with this stoichiometry = 0 meV/atom
Energy relative to the elements = -10.6 kcal/mol of atoms

```
data_Pa2TlP
_chemical_formula_sum 'Pa6 Tl3 P3'
_symmetry_space_group_name_H-M 'R -3 m'
_symmetry_Int_Tables_number 166
_symmetry_space_group_name_Hall '-R 3 2"'
_cell_length_a 3.6729
_cell_length_b 3.6729
_cell_length_c 26.0020
_cell_angle_alpha 90.00
_cell_angle_beta 90.00
_cell_angle_gamma 120.00
loop_
_atom_site_label
_atom_site_type_symbol
_atom_site_fract_x
_atom_site_fract_y
_atom_site_fract_z
Pa1 Pa 0.0000 0.0000 0.2329
Tl1 Tl 0.0000 0.0000 0.0000
P1 P 0.0000 0.0000 0.5000
```

Record 3
## K5PaSe6 (GGA-PBE)

Data for a geometry-optimized K5PaSe6 structure.

## Properties
E_form (uncorrected) = -1.147 eV per atom

```
data_K5PaSe6
_chemical_formula_sum 'K10 Pa2 Se12'
_symmetry_space_group_name_H-M 'C 1 2/m 1'
_symmetry_Int_Tables_number 12
_symmetry_space_group_name_Hall '-C 2y'
_cell_length_a 8.124
_cell_length_b 13.938
_cell_length_c 7.970
_cell_angle_alpha 90.00
_cell_angle_beta 110.47
_cell_angle_gamma 90.00
loop_
_atom_site_label
_atom_site_type_symbol
_atom_site_fract_x
_atom_site_fract_y
_atom_site_fract_z
K1 K 0.000 0.000 0.000
K2 K 0.000 0.166 0.500
K3 K 0.000 0.322 0.000
Pa1 Pa 0.000 0.500 0.500
Se1 Se 0.204 0.500 0.284
Se2 Se 0.213 0.358 0.718
```

Record 4
## Nd2H6PdRu (GGA-PBE)

Data for a geometry-optimized Nd2H6PdRu structure.

```
data_Nd2H6PdRu
_chemical_formula_sum 'Nd8 H24 Pd4 Ru4'
_symmetry_space_group_name_H-M 'F m m m'
_symmetry_Int_Tables_number 69
_symmetry_space_group_name_Hall '-F 2 2'
_cell_length_a 7.516
_cell_length_b 7.525
_cell_length_c 7.550
_cell_angle_alpha 90.00
_cell_angle_beta 90.00
_cell_angle_gamma 90.00
loop_
_atom_site_label
_atom_site_type_symbol
_atom_site_fract_x
_atom_site_fract_y
_atom_site_fract_z
Nd1 Nd 0.250 0.250 0.250
H1 H 0.000 0.000 0.236
H2 H 0.000 0.236 0.000
H3 H 0.237 0.000 0.000
Pd1 Pd 0.000 0.000 0.500
Ru1 Ru 0.000 0.000 0.000
```

Record 5
## LiNdTmSe3 (GGA-PBE)

Data for a geometry-optimized LiNdTmSe3 structure.

## Properties
E_form (uncorrected) = -1.655 eV per atom

```
data_LiNdTmSe3
_chemical_formula_sum 'Li2 Nd2 Tm2 Se6'
_symmetry_space_group_name_H-M 'P 1 21/m 1'
_symmetry_Int_Tables_number 11
_symmetry_space_group_name_Hall '-P 2yb'
_cell_length_a 8.406
_cell_length_b 4.001
_cell_length_c 8.818
_cell_angle_alpha 90.00
_cell_angle_beta 103.35
_cell_angle_gamma 90.00
loop_
_atom_site_label
_atom_site_type_symbol
_atom_site_fract_x
_atom_site_fract_y
_atom_site_fract_z
Li1 Li 0.086 0.250 0.085
Nd1 Nd 0.192 0.250 0.728
Tm1 Tm 0.333 0.750 0.338
Se1 Se 0.098 0.250 0.370
Se2 Se 0.225 0.750 0.003
Se3 Se 0.436 0.750 0.672
```

Record 6
## Fe3RhC (GGA-PBE)

Data for a geometry-optimized Fe3RhC structure.

## Properties
Energy above the lowest structure with this stoichiometry = 2257 meV/atom
Energy relative to the elements = 54.9 kcal/mol of atoms

```
data_Fe3RhC
_chemical_formula_sum 'Fe3 Rh1 C1'
_symmetry_space_group_name_H-M 'P m -3 m'
_symmetry_Int_Tables_number 221
_symmetry_space_group_name_Hall '-P 4 2 3'
_cell_length_a 4.605
_cell_length_b 4.605
_cell_length_c 4.605
_cell_angle_alpha 90.00
_cell_angle_beta 90.00
_cell_angle_gamma 90.00
loop_
_atom_site_label
_atom_site_type_symbol
_atom_site_fract_x
_atom_site_fract_y
_atom_site_fract_z
Fe1 Fe 0.000 0.000 0.500
Rh1 Rh 0.000 0.000 0.000
C1 C 0.500 0.500 0.500
```

Record 7
## La3Pm2Pr2 (GGA-PBE)

Data for a geometry-optimized La3Pm2Pr2 structure.

## Properties
Energy above the lowest structure with this stoichiometry = 80 meV/atom
Energy relative to the elements = 2.2 kcal/mol of atoms

```
data_La3Pm2Pr2
_chemical_formula_sum 'La6 Pm4 Pr4'
_symmetry_space_group_name_H-M 'C 1 2/m 1'
_symmetry_Int_Tables_number 12
_symmetry_space_group_name_Hall '-C 2y'
_cell_length_a 18.020
_cell_length_b 3.603
_cell_length_c 8.860
_cell_angle_alpha 90.00
_cell_angle_beta 118.50
_cell_angle_gamma 90.00
loop_
_atom_site_label
_atom_site_type_symbol
_atom_site_fract_x
_atom_site_fract_y
_atom_site_fract_z
La1 La 0.000 0.000 0.000
La2 La 0.214 0.000 0.298
Pm1 Pm 0.147 0.000 0.834
Pr1 Pr 0.064 0.500 0.408
```

Record 8
## RbTlCl3 (GGA-PBE)

Data for a geometry-optimized RbTlCl3 structure.

## Properties
E_form (uncorrected) = -1.193 eV per atom

```
data_RbTlCl3
_chemical_formula_sum 'Rb4 Tl4 Cl12'
_symmetry_space_group_name_H-M 'C 1 2/m 1'
_symmetry_Int_Tables_number 12
_symmetry_space_group_name_Hall '-C 2y'
_cell_length_a 16.719
_cell_length_b 4.452
_cell_length_c 9.497
_cell_angle_alpha 90.00
_cell_angle_beta 95.71
_cell_angle_gamma 90.00
loop_
_atom_site_label
_atom_site_type_symbol
_atom_site_fract_x
_atom_site_fract_y
_atom_site_fract_z
Rb1 Rb 0.109 0.000 0.383
Tl1 Tl 0.182 0.500 0.831
Cl1 Cl 0.053 0.500 0.632
Cl2 Cl 0.153 0.000 0.029
Cl3 Cl 0.248 0.000 0.672
```

Record 9
## Cs4Pm3AlO8 (GGA-PBE)

Data for a geometry-optimized Cs4Pm3AlO8 structure.

## Properties
E_form (uncorrected) = -2.312 eV per atom

```
data_Cs4Pm3AlO8
_chemical_formula_sum 'Cs8 Pm6 Al2 O16'
_symmetry_space_group_name_H-M 'C 1 2/m 1'
_symmetry_Int_Tables_number 12
_symmetry_space_group_name_Hall '-C 2y'
_cell_length_a 12.716
_cell_length_b 7.001
_cell_length_c 7.977
_cell_angle_alpha 90.00
_cell_angle_beta 119.57
_cell_angle_gamma 90.00
loop_
_atom_site_label
_atom_site_type_symbol
_atom_site_fract_x
_atom_site_fract_y
_atom_site_fract_z
Cs1 Cs 0.000 0.000 0.000
Cs2 Cs 0.000 0.500 0.000
Cs3 Cs 0.250 0.250 0.000
Pm1 Pm 0.000 0.000 0.500
Pm2 Pm 0.250 0.250 0.500
Al1 Al 0.000 0.500 0.500
O1 O 0.028 0.296 0.359
O2 O 0.214 0.000 0.668
O3 O 0.243 0.000 0.300
```

Record 10
## Tl6CdSn (GGA-PBE)

Data for a geometry-optimized Tl6CdSn structure.

## Properties
Energy above the lowest structure with this stoichiometry = 0 meV/atom
Energy relative to the elements = 0.9 kcal/mol of atoms

```
data_Tl6CdSn
_chemical_formula_sum 'Tl6 Cd1 Sn1'
_symmetry_space_group_name_H-M 'P 4/m m m'
_symmetry_Int_Tables_number 123
_symmetry_space_group_name_Hall '-P 4 2'
_cell_length_a 5.292
_cell_length_b 5.292
_cell_length_c 8.492
_cell_angle_alpha 90.00
_cell_angle_beta 90.00
_cell_angle_gamma 90.00
loop_
_atom_site_label
_atom_site_type_symbol
_atom_site_fract_x
_atom_site_fract_y
_atom_site_fract_z
Tl1 Tl 0.000 0.000 0.000
Tl2 Tl 0.000 0.000 0.500
Tl3 Tl 0.000 0.500 0.250
Cd1 Cd 0.500 0.500 0.000
Sn1 Sn 0.500 0.500 0.500
```

Number 1: E -4.42 eV/atom. Number 2: E -7.15 eV/atom. Number 3: E -4.14 eV/atom. Number 4: E -4.93 eV/atom. Number 5: E -5.26 eV/atom. Number 6: E -6.01 eV/atom. Number 7: E -4.74 eV/atom. Number 8: E -2.97 eV/atom. Number 9: E -6.13 eV/atom. Number 10: E -2.35 eV/atom.